This record from Alexandria describes a relaxed structure of CaNb3Bi. The functional is PBEsol.

Cell: 4.7852 4.7852 4.7852 Å, 90.00 90.00 90.00°
Closest atoms and distances in Å follow each position.
Fractional positions:
Ca (0.0000, 0.0000, 0.0000)  6 Nb 2.39
Nb (0.0000, 0.0000, 0.5000)  2 Ca 2.39
Nb (0.0000, 0.5000, 0.0000)  2 Ca 2.39
Nb (0.5000, 0.0000, 0.0000)  2 Ca 2.39
Bi (0.5000, 0.5000, 0.5000)  12 Nb 3.38

Total moment = 0.00 μB/atom
VASP energy = -28.93 eV/cell
Energy of formation = 1991.3 meV per atom